MgSi2Se | PBE | relaxed

Output
The total moment comes out at 0.0 Bohr magnetons per cell. As for the space-group type: I-42d (122). As for the energy relative to the elements, uncorrected: 375 meV per atom.

Cell: 6.127 6.127 10.999 Å, 90.00 90.00 90.00°
Element x y z (fractional)
Mg 0.000 0.000 0.000
Mg 0.000 0.500 0.250
Mg 0.500 0.000 0.750
Mg 0.500 0.500 0.500
Si 0.229 0.250 0.625
Si 0.250 0.729 0.875
Si 0.250 0.771 0.375
Si 0.271 0.250 0.125
Si 0.729 0.750 0.125
Si 0.750 0.229 0.375
Si 0.750 0.271 0.875
Si 0.771 0.750 0.625
Se 0.000 0.000 0.500
Se 0.000 0.500 0.750
Se 0.500 0.000 0.250
Se 0.500 0.500 0.000


MgSi2Se | PBE | relaxed

Output
The total moment comes out at 0.0 Bohr magnetons per cell. As for the space-group type: R-3m (166). As for the energy relative to the elements, uncorrected: 253 meV per atom.

Cell: 3.500 3.500 22.146 Å, 90.00 90.00 120.00°
Element x y z (fractional)
Mg 0.000 0.000 0.000
Mg 0.333 0.667 0.667
Mg 0.667 0.333 0.333
Si 0.000 0.000 0.243
Si 0.000 0.000 0.757
Si 0.333 0.667 0.424
Si 0.333 0.667 0.910
Si 0.667 0.333 0.090
Si 0.667 0.333 0.576
Se 0.000 0.000 0.500
Se 0.333 0.667 0.167
Se 0.667 0.333 0.833


Mg2SiSe | PBE | relaxed

Output
The total moment comes out at 0.0 Bohr magnetons per cell. As for the space-group type: I4/mmm (139). As for the energy relative to the elements, uncorrected: -89 meV per atom.

Cell: 4.501 4.501 7.686 Å, 90.00 90.00 90.00°
Element x y z (fractional)
Mg 0.000 0.500 0.250
Mg 0.000 0.500 0.750
Mg 0.500 0.000 0.250
Mg 0.500 0.000 0.750
Si 0.000 0.000 0.000
Si 0.500 0.500 0.500
Se 0.000 0.000 0.500
Se 0.500 0.500 0.000


MgSi2Se | PBE | relaxed

Output
The total moment comes out at 0.0 Bohr magnetons per cell. As for the space-group type: Cmmm (65). As for the energy relative to the elements, uncorrected: 290 meV per atom.

Cell: 5.825 7.450 3.380 Å, 90.00 90.00 90.00°
Element x y z (fractional)
Mg 0.000 0.000 0.000
Mg 0.500 0.500 0.000
Si 0.250 0.250 0.500
Si 0.250 0.750 0.500
Si 0.750 0.250 0.500
Si 0.750 0.750 0.500
Se 0.000 0.500 0.000
Se 0.500 0.000 0.000